CsGeMo: relaxed, PBE.

* ΔE to the lowest computed polymorph: 0.00 eV per formula unit
* total magnetization: 0.00 μB/cell
* DFT formation energy: 166 meV per atom
* N(E_F): 1.0835 states/eV/atom

a = 4.3634 Å, b = 4.3639 Å, c = 13.0112 Å
α = 83.47°, β = 83.16°, γ = 60.03°
Closest atoms and distances in Å follow each position.
Space group P-1 (No. 2)
One atom of each set of equivalent atoms:
Cs 0.2398 0.2302 0.2040 (multiplicity 2)  3 Ge 3.56
Ge 0.4751 0.4786 0.6006 (multiplicity 2)  1 Ge 2.59, 3 Mo 2.70
Mo 0.1605 0.1613 0.5249 (multiplicity 2)  3 Mo 2.60, 3 Ge 2.70


CsGe3Mo: relaxed, PBE.

* ΔE to the lowest computed polymorph: 0.00 eV per formula unit
* total magnetization: 0.00 μB/cell
* DFT formation energy: 158 meV per atom
* N(E_F): 0.5064 states/eV/atom

a = 5.0265 Å, b = 5.0265 Å, c = 5.0265 Å
α = 90.00°, β = 90.00°, γ = 90.00°
Closest atoms and distances in Å follow each position.
Space group Pm-3m (No. 221)
One atom of each set of equivalent atoms:
Cs 0.0000 0.0000 0.0000 (multiplicity 1)  12 Ge 3.55
Ge 0.0000 0.5000 0.5000 (multiplicity 3)  2 Mo 2.51
Mo 0.5000 0.5000 0.5000 (multiplicity 1)  6 Ge 2.51